# 1
DFT (GGA-PBE) results for a relaxed La2AlSiBi crystal.

Geometry as POSCAR:
```
La2AlSiBi
1.0
5.859 0.000 0.000
0.000 4.550 0.000
0.000 0.000 5.859
La Al Bi Si
2 1 1 1
Direct
0.500 0.000 0.000
0.000 0.000 0.500
0.000 0.000 0.000
0.500 0.500 0.500
0.000 0.500 0.000
```

Space group   No. 123
Size of the total moment   0.0 Bohr magnetons per cell
Final energy   -4.684 eV/atom
Calculated density   5.8 g/cm3
Crystal system   tetragonal
Energy relative to the elements, uncorrected   -10 kJ per mole of atoms

***

# 2
DFT (GGA-PBE) results for a relaxed MgZrTe2 crystal.

Geometry as POSCAR:
```
MgZrTe2
1.0
6.860 0.002 -0.014
5.725 3.780 -0.014
0.011 0.003 4.072
Te Zr Mg
2 1 1
Direct
0.225 0.225 0.375
0.971 0.971 0.875
0.556 0.556 0.375
0.748 0.748 0.875
```

Space group   No. 38
Size of the total moment   0.0 Bohr magnetons per cell
Final energy   -4.826 eV/atom
Calculated density   5.8 g/cm3
Crystal system   orthorhombic
Energy relative to the elements, uncorrected   -69 kJ per mole of atoms

***

# 3
DFT (GGA-PBE) results for a relaxed YFe2 crystal.

Geometry as POSCAR:
```
YFe2
1.0
4.388 -4.709 0.488
-1.127 -4.870 4.084
-1.727 3.344 -5.244
Y Fe
2 4
Direct
0.819 0.319 0.500
0.181 0.681 0.500
0.398 0.398 0.000
0.745 0.000 0.745
0.255 0.000 0.255
0.602 0.602 0.000
```

Space group   No. 71
Size of the total moment   8.3 Bohr magnetons per cell
Final energy   -7.651 eV/atom
Calculated density   6.2 g/cm3
Formation enthalpy at 0 K   0.15 eV per atom
Crystal system   orthorhombic

***

# 4
DFT (GGA-PBE) results for a relaxed LiDy2Y3S6 crystal.

Geometry as POSCAR:
```
LiDy2Y3S6
1.0
-1.504 -4.910 -4.362
6.070 2.921 -0.155
0.655 -3.660 5.634
Dy Li S Y
2 1 6 3
Direct
0.666 0.334 0.000
0.334 0.666 0.000
0.000 0.000 0.000
0.081 0.408 0.245
0.757 0.757 0.242
0.408 0.081 0.245
0.243 0.243 0.758
0.592 0.919 0.755
0.919 0.592 0.755
0.500 0.500 0.500
0.166 0.834 0.500
0.834 0.166 0.500
```

Space group   No. 12
Size of the total moment   0.0 Bohr magnetons per cell
Final energy   -6.571 eV/atom
Calculated density   5.3 g/cm3
Crystal system   monoclinic
Energy relative to the elements, uncorrected   -190 kJ per mole of atoms

***

# 5
DFT (GGA-PBE) results for a relaxed MgNbReSn crystal.

Geometry as POSCAR:
```
MgNbReSn
1.0
-8.820 -3.523 -0.956
1.245 -3.076 -0.148
0.335 -0.100 4.906
Sn Mg Re Nb
2 2 2 2
Direct
0.580 0.500 0.677
0.580 0.000 0.177
0.869 0.000 0.542
0.869 0.500 0.042
0.104 0.000 0.180
0.104 0.500 0.680
0.319 0.000 0.749
0.319 0.500 0.249
```

Space group   No. 8
Size of the total moment   0.0 Bohr magnetons per cell
Final energy   -6.907 eV/atom
Calculated density   9.1 g/cm3
Energy above the most stable polymorph in this dataset   0.126 eV per atom
Formation enthalpy at 0 K   0.12 eV per atom
Crystal system   monoclinic

***

# 6
DFT (GGA-PBE) results for a relaxed Lu2AlCd crystal.

Geometry as POSCAR:
```
Lu2AlCd
1.0
3.381 0.000 0.000
1.691 2.928 0.000
1.691 0.976 10.787
Lu Cd Al
2 1 1
Direct
0.903 0.903 0.291
0.097 0.097 0.709
0.000 0.000 0.000
0.500 0.500 0.500
```

Space group   No. 166
Size of the total moment   0.0 Bohr magnetons per cell
Final energy   -3.361 eV/atom
Calculated density   7.6 g/cm3
Formation enthalpy at 0 K   0.06 eV per atom
Crystal system   trigonal

***

# 7
DFT (GGA-PBE) results for a relaxed Sr3YCd4 crystal.

Geometry as POSCAR:
```
Sr3YCd4
1.0
-2.518 3.035 -0.039
-0.015 -0.062 -3.943
-12.425 -10.306 0.210
Sr Cd Y
3 4 1
Direct
0.500 0.500 0.760
0.500 0.500 0.240
0.500 0.500 0.500
0.000 0.000 0.105
0.000 0.000 0.630
0.000 0.000 0.370
0.000 0.000 0.895
0.500 0.500 0.000
```

Space group   No. 123
Size of the total moment   0.0 Bohr magnetons per cell
Final energy   -2.222 eV/atom
Calculated density   5.3 g/cm3
Formation enthalpy at 0 K   -0.33 eV per atom
Crystal system   tetragonal

***

# 8
DFT (GGA-PBE) results for a relaxed ZrZnTc crystal.

Geometry as POSCAR:
```
ZrZnTc
1.0
6.853 0.001 -0.001
6.074 2.778 0.021
0.779 -0.649 2.700
Tc Zn Zr
1 1 1
Direct
0.996 0.996 0.004
0.343 0.343 0.657
0.661 0.661 0.339
```

Space group   No. 42
Size of the total moment   0.0 Bohr magnetons per cell
Final energy   -6.698 eV/atom
Calculated density   8.2 g/cm3
Energy above the most stable polymorph in this dataset   0.295 eV per atom
Formation enthalpy at 0 K   0.03 eV per atom
Crystal system   orthorhombic

***

# 9
DFT (GGA-PBE) results for a relaxed In3Pd5 crystal.

Geometry as POSCAR:
```
In3Pd5
1.0
-0.738 -1.640 -3.824
-2.903 -4.311 2.410
-4.488 3.503 -0.636
In Pd
3 5
Direct
0.500 0.217 0.783
0.000 0.500 0.500
0.500 0.783 0.217
0.000 0.500 0.000
0.000 0.000 0.500
0.500 0.724 0.724
0.500 0.276 0.276
0.000 0.000 0.000
```

Space group   No. 65
Size of the total moment   0.0 Bohr magnetons per cell
Final energy   -4.788 eV/atom
Calculated density   10.6 g/cm3
Formation enthalpy at 0 K   -0.52 eV per atom
Crystal system   orthorhombic

***

# 10
DFT (GGA-PBE) results for a relaxed KGa2Sn8 crystal.

Geometry as POSCAR:
```
KGa2Sn8
1.0
-1.919 -4.516 3.831
-2.755 -2.885 -4.780
8.497 -5.136 -1.798
Sn Ga K
8 2 1
Direct
0.248 0.752 0.802
0.248 0.752 0.198
0.752 0.248 0.802
0.752 0.752 0.198
0.752 0.248 0.198
0.248 0.248 0.802
0.752 0.752 0.802
0.248 0.248 0.198
0.000 0.500 0.000
0.500 0.000 0.000
0.500 0.500 0.500
```

Space group   No. 123
Size of the total moment   0.0 Bohr magnetons per cell
Final energy   -3.461 eV/atom
Calculated density   4.8 g/cm3
Energy above the most stable polymorph in this dataset   0.045 eV per atom
Formation enthalpy at 0 K   0.10 eV per atom
Crystal system   tetragonal

***

# 11
DFT (GGA-PBE) results for a relaxed SmSc2Tl crystal.

Geometry as POSCAR:
```
SmSc2Tl
1.0
3.430 0.000 0.000
1.715 2.971 0.000
1.715 0.990 10.541
Sm Sc Tl
1 2 1
Direct
0.500 0.500 0.500
0.255 0.255 0.234
0.078 0.078 0.766
0.667 0.667 0.000
```

Space group   No. 160
Size of the total moment   0.0 Bohr magnetons per cell
Final energy   -4.990 eV/atom
Calculated density   6.9 g/cm3
Energy above the most stable polymorph in this dataset   0.131 eV per atom
Formation enthalpy at 0 K   -0.05 eV per atom
Crystal system   trigonal

***

# 12
DFT (GGA-PBE) results for a relaxed SrPrSi2O6 crystal.

Geometry as POSCAR:
```
SrPrSi2O6
1.0
-1.987 5.951 2.365
-4.004 -2.007 -4.989
-2.320 -4.426 5.425
O Si Pr Sr
12 4 2 2
Direct
0.783 0.875 0.851
0.280 0.478 0.399
0.125 0.217 0.649
0.478 0.280 0.899
0.875 0.783 0.351
0.650 0.086 0.373
0.350 0.914 0.627
0.914 0.350 0.127
0.086 0.650 0.873
0.217 0.125 0.149
0.720 0.522 0.601
0.522 0.720 0.101
0.916 0.739 0.760
0.739 0.916 0.260
0.261 0.084 0.740
0.084 0.261 0.240
0.603 0.397 0.250
0.397 0.603 0.750
0.784 0.216 0.750
0.216 0.784 0.250
```

Space group   No. 15
Size of the total moment   2.0 Bohr magnetons per cell
Final energy   -7.420 eV/atom
Calculated density   4.3 g/cm3
Crystal system   monoclinic
Energy relative to the elements, uncorrected   -262 kJ per mole of atoms